1.
First-principles (PBE-GGA) data for a relaxed RbSnP2S crystal, as listed in the Alexandria database.

Computed properties:
**Raw formation energy**: 0.35 eV/atom
**Total magnetization**: 0.490 μB per atom
**SG**: P4/mmm (123)
**Crystal system**: tetragonal
**Energy above the lowest structure with this stoichiometry**: 0 meV/atom

Geometry as POSCAR:
```
RbSnP2S
1.0
5.2329 0.0000 0.0000
0.0000 5.2329 0.0000
0.0000 0.0000 5.3031
P Rb S Sn
2 1 1 1
Cartesian
0.0000 2.6164 0.0000
2.6164 0.0000 0.0000
2.6164 2.6164 2.6515
0.0000 0.0000 2.6515
0.0000 0.0000 0.0000
```

=====

2.
First-principles (PBE-GGA) data for a relaxed RbSnPS2 crystal, as listed in the Alexandria database.

Computed properties:
**Raw formation energy**: 1.31 eV/atom
**Total magnetization**: 0.574 μB per atom
**SG**: P4/mmm (123)
**Crystal system**: tetragonal
**Energy above the lowest structure with this stoichiometry**: 1289 meV/atom

Geometry as POSCAR:
```
RbSnPS2
1.0
-5.0113 -0.8677 2.4035
-2.1187 -1.5471 -4.9760
1.3752 -5.1386 1.0121
Rb P S Sn
1 1 2 1
Cartesian
0.0000 0.0000 0.0000
0.6876 -2.5693 0.5061
-1.0594 -0.7735 -2.4880
-2.5056 -0.4338 1.2018
-2.8774 -3.7767 -0.7801
```

=====

3.
First-principles (PBE-GGA) data for a relaxed RbSnPS2 crystal, as listed in the Alexandria database.

Computed properties:
**Raw formation energy**: 0.02 eV/atom
**Total magnetization**: 0.350 μB per atom
**SG**: P4/mmm (123)
**Crystal system**: tetragonal
**Energy above the lowest structure with this stoichiometry**: 0 meV/atom

Geometry as POSCAR:
```
RbSnPS2
1.0
-1.8033 -1.3362 -4.7164
-3.7508 -2.8594 2.2442
-3.1442 4.1460 0.0276
Sn Rb S P
1 1 2 1
Cartesian
0.0000 0.0000 0.0000
-4.3492 -0.0248 -1.2223
-0.9016 -0.6681 -2.3582
-1.8754 -1.4297 1.1221
-1.5721 2.0730 0.0138
```

=====

4.
First-principles (PBE-GGA) data for a relaxed RbSnPS2 crystal, as listed in the Alexandria database.

Computed properties:
**Raw formation energy**: 0.05 eV/atom
**Total magnetization**: 0.000 μB per atom
**SG**: P4/mmm (123)
**Crystal system**: tetragonal
**Energy above the lowest structure with this stoichiometry**: 34 meV/atom

Geometry as POSCAR:
```
RbSnPS2
1.0
-3.9546 -0.2937 3.1392
-3.0619 -1.0442 -3.9549
0.8689 -4.9421 0.6321
Sn Rb P S
1 1 1 2
Cartesian
-1.5310 -0.5221 -1.9774
-3.0738 -3.1400 -0.0918
0.0000 0.0000 0.0000
0.4344 -2.4711 0.3161
-1.9773 -0.1469 1.5696
```